1.
First-principles (PBE-GGA) data for a relaxed structure of Ca2MgAuN, as listed in Alexandria via LeMat-Bulk.

Calculated values
* DOS at the Fermi energy: 0.656 states/eV/atom
* mass density: 5.16 g cm⁻³
* energy relative to the elements, uncorrected: -0.71 eV/atom

```
Ca2MgAuN
1.0
4.895 0.000 0.000
0.000 4.895 0.000
0.000 0.000 4.236
Ca Mg Au N
2 1 1 1
direct
0.000 0.500 0.000
0.500 0.000 0.000
0.000 0.000 0.500
0.500 0.500 0.500
0.000 0.000 0.000
```


2.
First-principles (PBE-GGA) data for a relaxed structure of Zn2Ga3Ni7, as listed in Alexandria via LeMat-Bulk.

Calculated values
* E_tot: -4.66 eV per atom
* DOS at the Fermi energy: 0.432 states/eV/atom
* mass density: 8.67 g cm⁻³

```
Zn2Ga3Ni7
1.0
3.367 -2.672 0.000
3.367 2.672 0.000
-3.351 0.000 7.992
Zn Ga Ni
2 3 7
direct
0.168 0.168 0.336
0.832 0.832 0.664
0.000 0.000 0.000
0.339 0.339 0.678
0.661 0.661 0.322
0.083 0.582 0.164
0.250 0.750 0.500
0.418 0.917 0.836
0.500 0.500 0.000
0.582 0.083 0.164
0.750 0.250 0.500
0.917 0.418 0.836
```


3.
First-principles (PBE-GGA) data for a relaxed structure of PmErPtAu, as listed in Alexandria via LeMat-Bulk.

Calculated values
* DOS at the Fermi energy: 0.671 states/eV/atom
* energy relative to the lowest polymorph listed for this composition: 0.21 eV per formula unit
* mass density: 12.75 g cm⁻³

```
PmErPtAu
1.0
0.000 3.579 3.579
3.579 0.000 3.579
3.579 3.579 0.000
Pm Er Pt Au
1 1 1 1
direct
0.000 0.000 0.000
0.500 0.500 0.500
0.750 0.750 0.750
0.250 0.250 0.250
```


4.
First-principles (PBE-GGA) data for a relaxed structure of KTl4Ga, as listed in Alexandria via LeMat-Bulk.

Calculated values
* DOS at the Fermi energy: 0.736 states/eV/atom
* energy relative to the lowest polymorph listed for this composition: 0.78 eV per formula unit
* mass density: 7.76 g cm⁻³

```
KTl4Ga
1.0
0.000 4.628 4.628
4.628 0.000 4.628
4.628 4.628 0.000
K Tl Ga
1 4 1
direct
0.000 0.000 0.000
0.375 0.375 0.375
0.375 0.375 0.874
0.375 0.874 0.375
0.874 0.375 0.375
0.750 0.750 0.750
```


5.
First-principles (PBE-GGA) data for a relaxed structure of CsMnTe2, as listed in Alexandria via LeMat-Bulk.

Calculated values
* DOS at the Fermi energy: 0.301 states/eV/atom
* mass density: 4.57 g cm⁻³
* energy relative to the elements, uncorrected: -0.55 eV/atom

```
CsMnTe2
1.0
3.917 -6.766 0.000
3.917 6.766 0.000
-2.849 0.000 6.079
Cs Mn Te
2 2 4
direct
0.132 0.868 0.750
0.868 0.132 0.250
0.499 0.501 0.250
0.501 0.499 0.750
0.205 0.441 0.913
0.441 0.205 0.413
0.559 0.795 0.587
0.795 0.559 0.087
```


6.
First-principles (PBE-GGA) data for a relaxed structure of Sm2MnCu, as listed in Alexandria via LeMat-Bulk.

Calculated values
* E_tot: -5.59 eV per atom
* DOS at the Fermi energy: 1.024 states/eV/atom
* mass density: 7.60 g cm⁻³

```
Sm2MnCu
1.0
0.000 3.577 3.577
3.577 0.000 3.577
3.577 3.577 0.000
Sm Mn Cu
2 1 1
direct
0.250 0.250 0.250
0.750 0.750 0.750
0.000 0.000 0.000
0.500 0.500 0.500
```


7.
First-principles (PBE-GGA) data for a relaxed structure of Mn3Cd5, as listed in Alexandria via LeMat-Bulk.

Calculated values
* DOS at the Fermi energy: 0.864 states/eV/atom
* energy relative to the lowest polymorph listed for this composition: 0.82 eV per formula unit
* mass density: 7.64 g cm⁻³

```
Mn3Cd5
1.0
8.103 0.000 0.000
-4.052 7.017 0.000
0.000 0.000 5.555
Mn Cd
6 10
direct
0.000 0.407 0.250
0.000 0.593 0.750
0.407 0.000 0.250
0.407 0.407 0.750
0.593 0.000 0.750
0.593 0.593 0.250
0.000 0.233 0.750
0.000 0.767 0.250
0.233 0.000 0.750
0.233 0.233 0.250
0.333 0.667 0.000
0.333 0.667 0.500
0.667 0.333 0.000
0.667 0.333 0.500
0.767 0.000 0.250
0.767 0.767 0.750
```


8.
First-principles (PBE-GGA) data for a relaxed structure of KP2SeO8, as listed in Alexandria via LeMat-Bulk.

Calculated values
* DOS at the Fermi energy: 0.247 states/eV/atom
* mass density: 2.96 g cm⁻³
* energy relative to the elements, uncorrected: -1.62 eV/atom

```
KP2SeO8
1.0
4.048 -2.603 0.000
4.048 2.603 0.000
-0.636 0.000 8.192
K P Se O
1 2 1 8
direct
0.000 0.000 0.000
0.368 0.368 0.695
0.632 0.632 0.305
0.000 0.000 0.500
0.239 0.239 0.542
0.239 0.727 0.675
0.273 0.761 0.325
0.307 0.307 0.862
0.693 0.693 0.138
0.727 0.239 0.675
0.761 0.273 0.325
0.761 0.761 0.458
```


9.
First-principles (PBE-GGA) data for a relaxed structure of Ac2Sn3Ir, as listed in Alexandria via LeMat-Bulk.

Calculated values
* E_tot: -5.46 eV per atom
* DOS at the Fermi energy: 0.754 states/eV/atom
* mass density: 9.69 g cm⁻³

```
Ac2Sn3Ir
1.0
5.947 -2.426 0.000
5.947 2.426 0.000
-5.098 0.000 5.954
Ac Sn Ir
2 3 1
direct
0.000 0.000 0.000
0.128 0.128 0.605
0.371 0.371 0.187
0.452 0.452 0.663
0.751 0.751 0.384
0.746 0.746 0.022
```


10.
First-principles (PBE-GGA) data for a relaxed structure of UPa2S5, as listed in Alexandria via LeMat-Bulk.

Calculated values
* DOS at the Fermi energy: 1.545 states/eV/atom
* energy relative to the lowest polymorph listed for this composition: 0.00 eV per formula unit
* mass density: 8.54 g cm⁻³
* energy relative to the elements, uncorrected: -1.57 eV/atom

```
UPa2S5
1.0
11.705 0.000 0.000
0.000 7.822 0.000
0.000 0.000 7.312
U Pa S
4 8 20
direct
0.005 0.250 0.079
0.495 0.750 0.579
0.505 0.250 0.421
0.995 0.750 0.921
0.179 0.001 0.523
0.179 0.499 0.523
0.321 0.501 0.023
0.321 0.999 0.023
0.679 0.001 0.977
0.679 0.499 0.977
0.821 0.501 0.477
0.821 0.999 0.477
0.000 0.250 0.467
0.000 0.750 0.533
0.100 0.547 0.167
0.100 0.953 0.167
0.187 0.250 0.829
0.219 0.750 0.797
0.281 0.250 0.297
0.313 0.750 0.329
0.400 0.047 0.667
0.400 0.453 0.667
0.500 0.250 0.033
0.500 0.750 0.967
0.600 0.547 0.333
0.600 0.953 0.333
0.687 0.250 0.671
0.719 0.750 0.703
0.781 0.250 0.203
0.813 0.750 0.171
0.900 0.047 0.833
0.900 0.453 0.833
```


11.
First-principles (PBE-GGA) data for a relaxed structure of LiCoTc2, as listed in Alexandria via LeMat-Bulk.

Calculated values
* DOS at the Fermi energy: 1.024 states/eV/atom
* energy relative to the lowest polymorph listed for this composition: 0.22 eV per formula unit
* mass density: 8.06 g cm⁻³

```
LiCoTc2
1.0
2.550 0.000 0.000
0.000 2.550 0.000
0.000 0.000 8.296
Li Co Tc
1 1 2
direct
0.000 0.000 0.000
0.000 0.000 0.500
0.500 0.500 0.271
0.500 0.500 0.729
```


12.
First-principles (PBE-GGA) data for a relaxed structure of K2MnNi2, as listed in Alexandria via LeMat-Bulk.

Calculated values
* DOS at the Fermi energy: 1.849 states/eV/atom
* energy relative to the lowest polymorph listed for this composition: 0.00 eV per formula unit
* mass density: 3.27 g cm⁻³

```
K2MnNi2
1.0
-1.652 1.652 11.641
1.652 -1.652 11.641
1.652 1.652 -11.641
K Mn Ni
2 1 2
direct
0.130 0.130 0.000
0.870 0.870 0.000
0.500 0.500 0.000
0.250 0.750 0.500
0.750 0.250 0.500
```


13.
First-principles (PBE-GGA) data for a relaxed structure of CaCuSe2, as listed in Alexandria via LeMat-Bulk.

Calculated values
* DOS at the Fermi energy: 0.962 states/eV/atom
* mass density: 4.94 g cm⁻³
* energy relative to the elements, uncorrected: -0.77 eV/atom

```
CaCuSe2
1.0
-1.947 2.951 3.827
1.947 -2.951 3.827
1.947 2.951 -3.827
Ca Cu Se
1 1 2
direct
0.000 0.000 0.000
0.500 0.500 0.000
0.297 0.797 0.500
0.703 0.203 0.500
```


14.
First-principles (PBE-GGA) data for a relaxed structure of Er2PtRh, as listed in Alexandria via LeMat-Bulk.

Calculated values
* E_tot: -6.74 eV per atom
* DOS at the Fermi energy: 0.406 states/eV/atom
* mass density: 13.05 g cm⁻³

```
Er2PtRh
1.0
3.423 0.000 0.000
0.000 3.423 0.000
0.000 0.000 6.871
Er Pt Rh
2 1 1
direct
0.000 0.000 0.244
0.000 0.000 0.756
0.500 0.500 0.500
0.500 0.500 0.000
```


15.
First-principles (PBE-GGA) data for a relaxed structure of Ce3Pt2Au4, as listed in Alexandria via LeMat-Bulk.

Calculated values
* E_tot: -5.45 eV per atom
* DOS at the Fermi energy: 1.972 states/eV/atom
* mass density: 13.02 g cm⁻³

```
Ce3Pt2Au4
1.0
5.132 -2.336 0.000
5.132 2.336 0.000
-2.817 0.000 8.505
Ce Pt Au
3 2 4
direct
0.000 0.000 0.000
0.128 0.128 0.701
0.872 0.872 0.299
0.431 0.431 0.723
0.569 0.569 0.277
0.213 0.213 0.402
0.320 0.320 0.053
0.680 0.680 0.947
0.787 0.787 0.598
```


16.
First-principles (PBE-GGA) data for a relaxed structure of SrGa3Pt, as listed in Alexandria via LeMat-Bulk.

Calculated values
* E_tot: -1.98 eV per atom
* DOS at the Fermi energy: 1.596 states/eV/atom
* mass density: 4.62 g cm⁻³

```
SrGa3Pt
1.0
5.614 0.000 0.000
0.000 5.614 0.000
0.000 0.000 5.614
Sr Ga Pt
1 3 1
direct
0.000 0.000 0.000
0.000 0.000 0.500
0.000 0.500 0.000
0.500 0.000 0.000
0.500 0.500 0.500
```


17.
First-principles (PBE-GGA) data for a relaxed structure of Na2AlMoOs, as listed in Alexandria via LeMat-Bulk.

Calculated values
* E_tot: -4.00 eV per atom
* DOS at the Fermi energy: 0.603 states/eV/atom
* mass density: 4.46 g cm⁻³

```
Na2AlMoOs
1.0
5.325 0.000 0.000
0.000 5.325 0.000
0.000 0.000 4.715
Na Al Mo Os
2 1 1 1
direct
0.000 0.500 0.000
0.500 0.000 0.000
0.000 0.000 0.500
0.500 0.500 0.500
0.000 0.000 0.000
```


18.
First-principles (PBE-GGA) data for a relaxed structure of Nd4Sb2H, as listed in Alexandria via LeMat-Bulk.

Calculated values
* DOS at the Fermi energy: 1.086 states/eV/atom
* energy relative to the lowest polymorph listed for this composition: 0.00 eV per formula unit
* mass density: 7.24 g cm⁻³

```
Nd4Sb2H
1.0
-2.308 2.308 8.837
2.308 -2.308 8.837
2.308 2.308 -8.837
Nd Sb H
4 2 1
direct
0.000 0.500 0.500
0.179 0.179 0.000
0.500 0.000 0.500
0.821 0.821 0.000
0.362 0.362 0.000
0.638 0.638 0.000
0.000 0.000 0.000
```


19.
First-principles (PBE-GGA) data for a relaxed structure of VInCu, as listed in Alexandria via LeMat-Bulk.

Calculated values
* E_tot: -5.08 eV per atom
* DOS at the Fermi energy: 0.896 states/eV/atom
* mass density: 7.87 g cm⁻³

```
VInCu
1.0
0.000 4.188 4.863
2.377 0.000 4.863
2.377 4.188 0.000
V In Cu
2 2 2
direct
0.182 0.818 0.182
0.818 0.182 0.818
0.358 0.358 0.642
0.642 0.642 0.358
0.250 0.250 0.250
0.750 0.750 0.750
```


20.
First-principles (PBE-GGA) data for a relaxed structure of InCoBOs2, as listed in Alexandria via LeMat-Bulk.

Calculated values
* E_tot: -4.48 eV per atom
* DOS at the Fermi energy: 1.319 states/eV/atom
* mass density: 8.40 g cm⁻³

```
InCoBOs2
1.0
4.913 0.000 0.000
0.000 4.913 0.000
0.000 0.000 4.625
In Co B Os
1 1 1 2
direct
0.000 0.000 0.000
0.000 0.000 0.500
0.500 0.500 0.500
0.000 0.500 0.000
0.500 0.000 0.000
```